{
  "formula": "LiAcNdTm",
  "functional": "PBE-GGA",
  "state": "relaxed",
  "formation_energy_ev_per_atom": 0.1430,
  "lattice_angstrom": [[-2.7937, -4.9698, -0.4466], [1.2807, -3.6301, -4.2291], [2.6935, -4.9088, 1.1627]],
  "species": ["Tm", "Li", "Ac", "Nd"],
  "fractional_positions": [[0.5000, 0.5000, 0.5000], [0.0000, 0.0000, 0.0000], [0.7500, 0.7500, 0.7500], [0.2500, 0.2500, 0.2500]]
}